## LaSnSN2 (PBE)

Data for crystalline LaSnSN2 at its relaxed geometry.

The structure in POSCAR format:
```
LaSnSN2
1.0
4.1855 0.0000 0.0000
0.0000 4.1855 0.0000
0.0000 0.0000 5.0848
La Sn S N
1 1 1 2
Cartesian
0.0000 0.0000 0.0000
2.0927 2.0927 2.5424
2.0927 2.0927 0.0000
0.0000 2.0927 2.5424
2.0927 0.0000 2.5424
```

Calculated values
Its raw formation energy is -0.11 eV/atom.